The following is a DFT calculation (PBE) of a relaxed ScGaBi2 crystal.

a = 7.9279 Å, b = 7.9279 Å, c = 7.9279 Å
α = 129.53°, β = 129.53°, γ = 74.16°
With the nearest neighbours (Å) after each atom.
Fractional positions:
Sc 0.0000 0.0000 0.0000  4 Bi 2.94
Sc 0.7500 0.2500 0.5000  4 Bi 2.94
Ga 0.2500 0.7500 0.5000  4 Bi 2.80
Ga 0.5000 0.5000 0.0000  4 Bi 2.80
Bi 0.1429 0.6250 0.0179  2 Ga 2.80, 2 Sc 2.94
Bi 0.3750 0.3929 0.5179  2 Ga 2.80, 2 Sc 2.94
Bi 0.6071 0.1250 0.9821  2 Ga 2.80, 2 Sc 2.94
Bi 0.8750 0.8571 0.4821  2 Ga 2.80, 2 Sc 2.94

Values from the calculation:
symmetry	No. 122
DFT formation energy	-0.03	eV per atom
E_tot	-4.308	eV/atom

---

The following is a DFT calculation (PBE) of a relaxed CsCdPbBr5 crystal.

a = 8.4331 Å, b = 8.4331 Å, c = 10.9573 Å
α = 103.93°, β = 103.93°, γ = 106.69°
With the nearest neighbours (Å) after each atom.
Fractional positions:
Cs 0.1537 0.8463 0.7500  5 Br 3.57-3.70
Cs 0.8463 0.1537 0.2500  5 Br 3.57-3.70
Cd 0.1865 0.8135 0.2500  4 Br 2.64-2.67
Cd 0.8135 0.1865 0.7500  4 Br 2.64-2.67
Pb 0.5000 0.5000 0.0000  6 Br 2.96-3.12
Pb 0.5000 0.5000 0.5000  6 Br 2.96-3.12
Br 0.1146 0.2536 0.9381  1 Cd 2.67
Br 0.1789 0.5975 0.3897  1 Cd 2.64
Br 0.2536 0.1146 0.4381  1 Cd 2.67
Br 0.4025 0.8211 0.1103  1 Cd 2.64
Br 0.4171 0.5829 0.7500  2 Pb 2.96
Br 0.5829 0.4171 0.2500  2 Pb 2.96
Br 0.5975 0.1789 0.8897  1 Cd 2.64
Br 0.7464 0.8854 0.5619  1 Cd 2.67
Br 0.8211 0.4025 0.6103  1 Cd 2.64
Br 0.8854 0.7464 0.0619  1 Cd 2.67

Values from the calculation:
symmetry	No. 15
E_tot	-2.857	eV/atom
uncorrected formation energy	-1.127	eV/atom

---

The following is a DFT calculation (PBE) of a relaxed Nb2VGaNi crystal.

a = 4.5432 Å, b = 4.5432 Å, c = 4.6668 Å
α = 90.00°, β = 90.00°, γ = 90.00°
With the nearest neighbours (Å) after each atom.
Fractional positions:
Nb 0.0000 0.5000 0.0000  2 V 2.27
Nb 0.5000 0.0000 0.0000  2 V 2.27
V 0.0000 0.0000 0.0000  4 Nb 2.27, 2 Ga 2.33
Ga 0.0000 0.0000 0.5000  2 V 2.33
Ni 0.5000 0.5000 0.5000  4 Ga 3.21, 8 Nb 3.26

Values from the calculation:
symmetry	No. 123
DFT formation energy	1.02	eV per atom
E_tot	-6.597	eV/atom